[1]
A plane-wave DFT calculation with PBE was carried out for LiTi3H after structural relaxation.

The structure belongs to space group Pm-3m (No. 221); the cell edges are 4.086, 4.086 and 4.086 Å and the angles 90.00°, 90.00° and 90.00°. The asymmetric unit holds Li at (0.000, 0.000, 0.000), Ti at (0.000, 0.500, 0.500) and H at (0.500, 0.500, 0.500).

The energy relative to the lowest polymorph listed for this composition comes out at 0.00 kcal/mol of atoms.

=====

[2]
A plane-wave DFT calculation with PBE was carried out for Ba14NaSr after structural relaxation.

The structure belongs to space group P4/mmm (No. 123); the cell edges are 8.883, 8.883 and 12.689 Å and the angles 90.00°, 90.00° and 90.00°. The asymmetric unit holds Ba at (0.000, 0.000, 0.000), Ba at (0.000, 0.500, 0.000), Ba at (0.000, 0.500, 0.500), Ba at (0.249, 0.249, 0.256), Ba at (0.500, 0.500, 0.000), Na at (0.000, 0.000, 0.500) and Sr at (0.500, 0.500, 0.500).

The formation energy from the elements comes out at 27 meV/atom.

=====

[3]
A plane-wave DFT calculation with PBE was carried out for Sr3Si2SnPt9 after structural relaxation.

The structure belongs to space group P-3m1 (No. 164); the cell edges are 5.9238, 5.9238 and 10.6293 Å and the angles 90.00°, 90.00° and 120.00°. The asymmetric unit holds Sr at (0.0000, 0.0000, 0.0000), Sr at (0.3333, 0.6667, 0.6061), Si at (0.3333, 0.6667, 0.1570), Sn at (0.0000, 0.0000, 0.5000), Pt at (0.0000, 0.5000, 0.0000) and Pt at (0.1584, 0.3168, 0.2978).

Its uncorrected formation energy is -0.63 eV/atom.

=====

[4]
A plane-wave DFT calculation with PBE was carried out for Pm6AlCu5 after structural relaxation.

The structure belongs to space group P2/m (No. 10); the cell edges are 5.039, 7.241 and 8.022 Å and the angles 90.00°, 108.18° and 90.00°. The asymmetric unit holds Pm at (0.000, 0.239, 0.000), Pm at (0.330, 0.250, 0.660), Al at (0.500, 0.500, 0.000), Cu at (0.151, 0.500, 0.303), Cu at (0.167, 0.000, 0.333) and Cu at (0.500, 0.000, 0.000).

The formation energy from the elements comes out at -189 meV/atom.

=====

[5]
A plane-wave DFT calculation with PBE was carried out for Ac2ZnTe after structural relaxation.

The structure belongs to space group Fm-3m (No. 225); the cell edges are 8.048, 8.048 and 8.048 Å and the angles 90.00°, 90.00° and 90.00°. The asymmetric unit holds Ac at (0.250, 0.250, 0.250), Zn at (0.000, 0.000, 0.000) and Te at (0.000, 0.000, 0.500).

Its uncorrected formation energy is -0.62 eV/atom. The energy relative to the lowest polymorph listed for this composition comes out at 2.62 kcal/mol of atoms.

=====

Per-record V, Å³/atom: 13.643, 62.582, 21.535, 23.177, 32.579